First-principles (GGA-PBE) data for a relaxed structure of Sm5PbSe5, as listed in the Alexandria database.

Results
Uncorrected energy ... -62.49 eV/f.u.
Energy relative to the elements, uncorrected ... -17.77 eV/f.u.

a = 7.324 Å, b = 7.324 Å, c = 8.502 Å
α = 106.62°, β = 106.62°, γ = 48.38°
Positions (direct):
Sm  0.000  0.000  0.000
Sm  0.331  0.331  0.657
Sm  0.334  0.334  0.179
Sm  0.666  0.666  0.821
Sm  0.669  0.669  0.343
Pb  0.500  0.500  0.000
Se  0.165  0.165  0.335
Se  0.171  0.171  0.839
Se  0.500  0.500  0.500
Se  0.829  0.829  0.161
Se  0.835  0.835  0.665